No. 1
Ac2Be3Au9 | PBE-GGA | optimized geometry

The structure in POSCAR format:
```
Ac2Be3Au9
1.0
7.332 -3.714 0.000
7.332 3.714 0.000
-5.287 0.000 10.643
Ac Be Au
4 6 18
direct
0.120 0.212 0.258
0.212 0.120 0.758
0.788 0.880 0.242
0.880 0.788 0.742
0.000 0.500 0.000
0.370 0.526 0.532
0.474 0.630 0.968
0.500 0.000 0.500
0.526 0.370 0.032
0.630 0.474 0.468
0.031 0.802 0.523
0.172 0.641 0.005
0.198 0.969 0.977
0.247 0.343 0.566
0.277 0.511 0.310
0.331 0.669 0.750
0.343 0.247 0.066
0.359 0.828 0.495
0.489 0.723 0.190
0.511 0.277 0.810
0.641 0.172 0.505
0.657 0.753 0.934
0.669 0.331 0.250
0.723 0.489 0.690
0.753 0.657 0.434
0.802 0.031 0.023
0.828 0.359 0.995
0.969 0.198 0.477
```

## Properties
The total energy is -3.865 eV per atom. Its crystal system is monoclinic.


No. 2
AcBe5Au7 | PBE-GGA | optimized geometry

The structure in POSCAR format:
```
AcBe5Au7
1.0
-2.544 4.572 4.510
2.544 -4.572 4.510
2.544 4.572 -4.510
Ac Be Au
1 5 7
direct
0.000 0.000 0.000
0.486 0.488 0.526
0.486 0.960 0.998
0.753 0.253 0.500
0.963 0.488 0.002
0.963 0.960 0.474
0.151 0.447 0.704
0.220 0.720 0.500
0.346 0.346 0.000
0.361 0.016 0.345
0.664 0.664 0.000
0.672 0.016 0.655
0.743 0.447 0.296
```

## Properties
The total energy is -3.726 eV per atom. Its crystal system is orthorhombic.


No. 3
Ac2Be7Au12 | PBE-GGA | optimized geometry

The structure in POSCAR format:
```
Ac2Be7Au12
1.0
9.870 0.000 0.000
-4.935 8.547 0.000
0.000 0.000 4.303
Ac Be Au
2 7 12
direct
0.333 0.667 0.253
0.667 0.333 0.747
0.000 0.000 0.000
0.102 0.717 0.755
0.283 0.385 0.755
0.385 0.102 0.245
0.615 0.898 0.755
0.717 0.615 0.245
0.898 0.283 0.245
0.074 0.454 0.751
0.121 0.254 0.258
0.133 0.879 0.258
0.254 0.133 0.742
0.381 0.926 0.751
0.454 0.381 0.249
0.546 0.619 0.751
0.619 0.074 0.249
0.746 0.867 0.258
0.867 0.121 0.742
0.879 0.746 0.742
0.926 0.546 0.249
```

## Properties
The total energy is -3.786 eV per atom. Its crystal system is trigonal.


No. 4
AcBe2CdAu5 | PBE-GGA | optimized geometry

The structure in POSCAR format:
```
AcBe2CdAu5
1.0
4.788 0.000 0.000
0.000 4.788 0.000
0.000 0.000 7.776
Ac Be Cd Au
1 2 1 5
direct
0.000 0.000 0.000
0.500 0.500 0.308
0.500 0.500 0.692
0.000 0.000 0.500
0.000 0.500 0.293
0.000 0.500 0.707
0.500 0.000 0.293
0.500 0.000 0.707
0.500 0.500 0.000
```

## Properties
The total energy is -3.480 eV per atom. Its crystal system is tetragonal.